Below is an optimized crystal structure of CaMnH3, with properties calculated at the GGA-PBEsol level.

a b c (Å): 4.0401 4.0401 4.0401
angles (deg): 90.00 90.00 90.00
With the nearest neighbours (Å) after each atom.
Positions (direct):
Ca  0.0000  0.0000  0.0000  6 H 2.02
H  0.0000  0.5000  0.0000  2 Ca 2.02
H  0.5000  0.0000  0.0000  2 Ca 2.02
H  0.0000  0.0000  0.5000  2 Ca 2.02
Mn  0.5000  0.5000  0.5000  12 H 2.86

Computed properties:
Its space group is No. 221. As for the density of states at the Fermi level: 0.32 states/eV per atom. The final energy is -3.869 eV/atom.